No. 1
20
Lattice="8.120 -8.393 0.000 8.120 8.393 0.000 -3.663 0.000 7.422" Properties=species:S:1:pos:R:3 comment="CsScCu2I6, optimized geometry, DFT PBE" volume_a3_per_fu=505.83 pbc="T T T"
Cs 5.373 5.605 5.567
Cs 7.204 -5.605 1.856
Sc 7.204 3.478 1.856
Sc 5.373 -3.478 5.567
Cu 1.907 0.638 5.722
Cu 3.739 -0.638 2.011
Cu 8.838 0.638 5.411
Cu 10.670 -0.638 1.700
I 5.035 5.091 1.724
I 2.241 0.972 3.219
I 0.410 -0.972 6.930
I 3.761 2.037 6.941
I 9.374 5.091 1.987
I 6.985 2.037 4.193
I 5.593 -2.037 3.229
I 3.203 -5.091 5.435
I 8.816 -2.037 0.482
I 12.167 0.972 0.492
I 10.336 -0.972 4.203
I 7.542 -5.091 5.698

No. 2
10
Lattice="-4.133 4.133 5.826 4.133 -4.133 5.826 4.133 4.133 -5.826" Properties=species:S:1:pos:R:3 comment="Cs2ScCuI6, optimized geometry, DFT PBE" relative_energy_mev_per_atom=24.6 volume_a3_per_fu=398.13 pbc="T T T"
Cs 4.133 0.000 2.913
Cs 0.000 4.133 2.913
Sc 0.000 0.000 0.000
Cu 0.000 0.000 5.826
I 2.067 2.067 0.000
I 2.067 -2.067 5.826
I 0.000 0.000 2.925
I 0.000 0.000 8.727
I -2.067 2.067 5.826
I 2.067 2.067 5.826

No. 3
20
Lattice="4.157 2.400 13.604 -4.157 2.400 13.604 0.000 -4.800 13.604" Properties=species:S:1:pos:R:3 comment="Cs2ScCuI6, optimized geometry, DFT PBE" relative_energy_mev_per_atom=0.0 volume_a3_per_fu=407.24 pbc="T T T"
Cs 0.000 0.000 4.959
Cs 0.000 0.000 11.968
Cs 0.000 0.000 28.843
Cs 0.000 0.000 35.852
Sc 0.000 0.000 16.997
Sc 0.000 0.000 23.814
Cu 0.000 0.000 0.000
Cu 0.000 0.000 20.406
I -2.019 -1.166 18.688
I 0.000 -2.401 15.284
I -2.080 1.201 15.284
I -2.080 -1.201 25.527
I 0.000 -2.331 22.123
I -2.019 1.166 22.123
I 2.019 -1.166 18.688
I 0.000 2.331 18.688
I 2.080 1.201 15.284
I 2.080 -1.201 25.527
I 0.000 2.401 25.527
I 2.019 1.166 22.123

no.,ΔE_f (raw) (eV/f.u.),magnetization (μB/cell),mass density (g cm⁻³)
1,-7.80,0.000,3.5
2,-10.89,0.000,4.7
3,-11.14,0.000,4.6